Run one
Material: Fe2RuAu
Method: DFT, SCAN
State: PBEsol geometry

Unit cell a=8.5835 b=8.5835 c=8.5835 alpha=18.13 beta=18.13 gamma=18.13
Sites, in units of the cell vectors:
Fe  0.0000  0.0000  0.0000
Fe  0.2599  0.2599  0.2599
Ru  0.5167  0.5167  0.5167
Au  0.7548  0.7548  0.7548

Properties
ρ = 12.72 g cm⁻³
Magnetization = 5.8 Bohr magnetons per cell
Symmetry = R3m
Fermi-level density of states = 3.4 states/eV/f.u.

***

Run two
Material: Fe2RuAu
Method: DFT, SCAN
State: PBEsol geometry

Unit cell a=4.2548 b=4.2548 c=4.2548 alpha=60.00 beta=60.00 gamma=60.00
Sites, in units of the cell vectors:
Fe  0.0000  0.0000  0.0000
Fe  0.2500  0.2500  0.2500
Ru  0.5000  0.5000  0.5000
Au  0.7500  0.7500  0.7500

Properties
ρ = 12.49 g cm⁻³
Magnetization = 7.0 Bohr magnetons per cell
Symmetry = F-43m
Fermi-level density of states = 3.4 states/eV/f.u.

***

Run three
Material: Fe2RuAu
Method: DFT, SCAN
State: PBEsol geometry

Unit cell a=4.5196 b=4.5196 c=4.5196 alpha=130.18 beta=130.18 gamma=73.12
Sites, in units of the cell vectors:
Fe  0.2500  0.7500  0.5000
Fe  0.7500  0.2500  0.5000
Ru  0.0000  0.0000  0.0000
Au  0.5000  0.5000  0.0000

Properties
ρ = 12.93 g cm⁻³
Magnetization = 6.9 Bohr magnetons per cell
Symmetry = I4/mmm
Fermi-level density of states = 2.8 states/eV/f.u.

***

Run four
Material: Fe2RuAu
Method: DFT, SCAN
State: PBEsol geometry

Unit cell a=2.6498 b=2.6498 c=7.4977 alpha=90.00 beta=90.00 gamma=90.00
Sites, in units of the cell vectors:
Fe  0.0000  0.0000  0.2322
Fe  0.0000  0.0000  0.7678
Ru  0.5000  0.5000  0.0000
Au  0.5000  0.5000  0.5000

Properties
ρ = 12.92 g cm⁻³
Magnetization = 5.3 Bohr magnetons per cell
Symmetry = P4/mmm
Fermi-level density of states = 3.8 states/eV/f.u.

***

run three takes first place; second place is 20 meV per atom up.

***

Run one
Material: SrFeAu2
Method: DFT, SCAN
State: PBEsol geometry

Unit cell a=5.9523 b=5.9523 c=5.9523 alpha=43.67 beta=43.67 gamma=43.67
Sites, in units of the cell vectors:
Sr  0.0000  0.0000  0.0000
Fe  0.1886  0.1886  0.1886
Au  0.5297  0.5297  0.5297
Au  0.8038  0.8038  0.8038

Properties
ρ = 9.78 g cm⁻³
Magnetization = 2.8 Bohr magnetons per cell
Symmetry = R3m
Fermi-level density of states = 2.1 states/eV/f.u.

***

Run two
Material: SrFeAu2
Method: DFT, SCAN
State: PBEsol geometry

Unit cell a=4.8810 b=4.8810 c=4.8810 alpha=60.00 beta=60.00 gamma=60.00
Sites, in units of the cell vectors:
Sr  0.0000  0.0000  0.0000
Fe  0.5000  0.5000  0.5000
Au  0.2500  0.2500  0.2500
Au  0.7500  0.7500  0.7500

Properties
ρ = 10.85 g cm⁻³
Magnetization = 3.3 Bohr magnetons per cell
Symmetry = Fm-3m
Fermi-level density of states = 3.6 states/eV/f.u.

***

run one takes first place; second place is 276 meV per atom up.

***

Run one
Material: FeTcAu
Method: DFT, SCAN
State: PBEsol geometry

Unit cell a=4.0307 b=4.0307 c=4.0307 alpha=60.00 beta=60.00 gamma=60.00
Sites, in units of the cell vectors:
Fe  0.0000  0.0000  0.0000
Tc  0.2500  0.2500  0.2500
Au  0.7500  0.7500  0.7500

Properties
ρ = 12.58 g cm⁻³
Magnetization = 1.9 Bohr magnetons per cell
Symmetry = F-43m
Fermi-level density of states = 0.7 states/eV/f.u.

***

Run two
Material: FeTcAu
Method: DFT, SCAN
State: PBEsol geometry

Unit cell a=5.9250 b=5.9250 c=5.9250 alpha=153.58 beta=153.58 gamma=37.72
Sites, in units of the cell vectors:
Fe  0.0000  0.0000  0.0000
Tc  0.6333  0.6333  0.0000
Au  0.3245  0.3245  0.0000

Properties
ρ = 14.16 g cm⁻³
Magnetization = 1.9 Bohr magnetons per cell
Symmetry = I4mm
Fermi-level density of states = 2.8 states/eV/f.u.

***

run two takes first place; second place is 231 meV per atom up.

***

Run one
Material: TlFeAu2
Method: DFT, SCAN
State: PBEsol geometry

Unit cell a=3.0071 b=3.6545 c=6.3778 alpha=90.00 beta=90.00 gamma=90.00
Sites, in units of the cell vectors:
Tl  0.0000  0.0000  0.0000
Fe  0.5000  0.5000  0.7291
Au  0.0000  0.0000  0.5354
Au  0.5000  0.5000  0.2871

Properties
ρ = 15.50 g cm⁻³
Magnetization = 3.2 Bohr magnetons per cell
Symmetry = Pmm2
Fermi-level density of states = 2.2 states/eV/f.u.

***

Run two
Material: TlFeAu2
Method: DFT, SCAN
State: PBEsol geometry

Unit cell a=2.9866 b=2.9866 c=8.0271 alpha=90.00 beta=90.00 gamma=90.00
Sites, in units of the cell vectors:
Tl  0.0000  0.0000  0.0000
Fe  0.0000  0.0000  0.5000
Au  0.5000  0.5000  0.2949
Au  0.5000  0.5000  0.7051

Properties
ρ = 15.17 g cm⁻³
Magnetization = 3.3 Bohr magnetons per cell
Symmetry = P4/mmm
Fermi-level density of states = 2.2 states/eV/f.u.

***

run two takes first place; second place is 120 meV per atom up.

***

Run one
Material: Fe2WAu
Method: DFT, SCAN
State: PBEsol geometry

Unit cell a=4.5106 b=4.5106 c=4.7943 alpha=98.71 beta=98.71 gamma=34.84
Sites, in units of the cell vectors:
Fe  0.2499  0.2499  0.2332
Fe  0.7501  0.7501  0.7668
W  0.5000  0.5000  0.0000
Au  0.0000  0.0000  0.5000

Properties
ρ = 14.86 g cm⁻³
Magnetization = 4.8 Bohr magnetons per cell
Symmetry = C2/m
Fermi-level density of states = 3.3 states/eV/f.u.

***

Run two
Material: Fe2WAu
Method: DFT, SCAN
State: PBEsol geometry

Unit cell a=2.8155 b=2.8155 c=6.8365 alpha=90.00 beta=90.00 gamma=90.00
Sites, in units of the cell vectors:
Fe  0.0000  0.0000  0.0000
Fe  0.5000  0.5000  0.1939
W  0.0000  0.0000  0.4297
Au  0.5000  0.5000  0.7345

Properties
ρ = 15.09 g cm⁻³
Magnetization = 4.8 Bohr magnetons per cell
Symmetry = P4mm
Fermi-level density of states = 2.9 states/eV/f.u.

***

run two takes first place; second place is 105 meV per atom up.

***

Run one
Material: Zr2FeAu
Method: DFT, SCAN
State: PBEsol geometry

Unit cell a=3.1008 b=3.1009 c=7.1848 alpha=90.00 beta=90.11 gamma=90.00
Sites, in units of the cell vectors:
Zr  0.0014  0.0000  0.2812
Zr  0.9986  0.0000  0.7188
Fe  0.5000  0.5000  0.5000
Au  0.5000  0.5000  0.0000

Properties
ρ = 10.46 g cm⁻³
Magnetization = 0.5 Bohr magnetons per cell
Symmetry = P2/m
Fermi-level density of states = 2.6 states/eV/f.u.

***

Run two
Material: Zr2FeAu
Method: DFT, SCAN
State: PBEsol geometry

Unit cell a=3.3620 b=3.3620 c=6.3020 alpha=90.00 beta=90.00 gamma=90.00
Sites, in units of the cell vectors:
Zr  0.0000  0.0000  0.0000
Zr  0.5000  0.5000  0.3049
Fe  0.5000  0.5000  0.7914
Au  0.0000  0.0000  0.5497

Properties
ρ = 10.15 g cm⁻³
Magnetization = 2.3 Bohr magnetons per cell
Symmetry = P4mm
Fermi-level density of states = 3.8 states/eV/f.u.

***

run one takes first place; second place is 164 meV per atom up.

***

Run one
Material: ZrFe2Au
Method: DFT, SCAN
State: PBEsol geometry

Unit cell a=2.7883 b=4.4154 c=5.0342 alpha=90.00 beta=94.70 gamma=90.00
Sites, in units of the cell vectors:
Zr  0.0000  0.0000  0.0000
Fe  0.3120  0.5000  0.7741
Fe  0.6880  0.5000  0.2259
Au  0.5000  0.0000  0.5000

Properties
ρ = 10.75 g cm⁻³
Magnetization = 4.8 Bohr magnetons per cell
Symmetry = P2/m
Fermi-level density of states = 3.6 states/eV/f.u.

***

Run two
Material: ZrFe2Au
Method: DFT, SCAN
State: PBEsol geometry

Unit cell a=9.0665 b=9.0665 c=9.0665 alpha=18.06 beta=18.06 gamma=18.06
Sites, in units of the cell vectors:
Zr  0.0000  0.0000  0.0000
Fe  0.2470  0.2470  0.2470
Fe  0.7530  0.7530  0.7530
Au  0.5000  0.5000  0.5000

Properties
ρ = 10.61 g cm⁻³
Magnetization = 6.0 Bohr magnetons per cell
Symmetry = R-3m
Fermi-level density of states = 2.7 states/eV/f.u.

***

run one takes first place; second place is 210 meV per atom up.